A crystal of MgI2O6 relaxed with PBEsol, computed with SCAN.

Cell lengths 6.5338, 10.7001, 8.5176 Å; angles 90.00, 117.73, 90.00 degrees
Closest atoms and distances in Å follow each position.
Space group P2_1/c (No. 14)
Unique sites:
Mg 0.1110 0.0925 0.4090 (multiplicity 4)  5 O 1.99-2.06
I 0.2417 0.0816 0.9961 (multiplicity 4)  3 O 1.83-1.85
I 0.3556 0.7128 0.0749 (multiplicity 4)  3 O 1.81-1.86
O 0.0357 0.5380 0.3505 (multiplicity 4)  1 I 1.85, 1 Mg 2.04
O 0.0522 0.2186 0.9154 (multiplicity 4)  1 I 1.83
O 0.1564 0.5774 0.0269 (multiplicity 4)  1 I 1.86, 2 Mg 2.03-2.06
O 0.3973 0.1022 0.8640 (multiplicity 4)  1 I 1.85
O 0.3993 0.1166 0.3888 (multiplicity 4)  1 I 1.81, 1 Mg 1.99
O 0.4370 0.7277 0.3112 (multiplicity 4)  1 I 1.83

## Properties
* formation energy (no corrections): -996.9 meV per atom

A crystal of Li2MnCr3O8 relaxed with PBEsol, computed with SCAN.

Cell lengths 5.7829, 5.7829, 14.1048 Å; angles 90.00, 90.00, 120.00 degrees
Closest atoms and distances in Å follow each position.
Space group R-3m (No. 166, hexagonal axes)
Unique sites:
Li 0.0000 0.0000 0.1268 (multiplicity 6)  4 O 1.93-1.96
Mn 0.0000 0.0000 0.5000 (multiplicity 3)  6 O 1.92
Cr 0.0000 0.5000 0.0000 (multiplicity 9)  6 O 1.94-1.96
O 0.0000 0.0000 0.2636 (multiplicity 6)  1 Li 1.93, 3 Cr 1.94
O 0.0363 0.5181 0.2522 (multiplicity 18)  1 Mn 1.92, 2 Cr 1.96, 1 Li 1.96

## Properties
* formation energy (no corrections): -2416.4 meV per atom
* polymorph energy (0 for the lowest one): 1 meV per atom

A crystal of MgH12Cl2O6 relaxed with PBEsol, computed with SCAN.

Cell lengths 9.6485, 6.7972, 6.1458 Å; angles 90.00, 94.38, 90.00 degrees
Closest atoms and distances in Å follow each position.
Space group C2/m (No. 12)
Unique sites:
Mg 0.0000 0.0000 0.0000 (multiplicity 2)  6 O 2.04-2.07
H 0.0286 0.3074 0.2895 (multiplicity 8)  1 O 0.99
H 0.1181 0.2005 0.6818 (multiplicity 8)  1 O 0.98
H 0.2174 0.5000 0.9802 (multiplicity 4)  1 O 0.98
H 0.2432 0.0000 0.2670 (multiplicity 4)  1 O 0.99
Cl 0.1919 0.5000 0.3966 (multiplicity 4)  5 H 2.11-2.36
O 0.0431 0.2180 0.7800 (multiplicity 8)  2 H 0.98-0.99
O 0.2047 0.0000 0.1126 (multiplicity 4)  2 H 0.98-0.99

A crystal of NiGe2 relaxed with PBEsol, computed with SCAN.

Cell lengths 10.7719, 5.7019, 5.7173 Å; angles 90.00, 90.00, 90.00 degrees
Closest atoms and distances in Å follow each position.
Space group Cmce (No. 64)
Unique sites:
Ni 0.1152 0.0000 0.0000 (multiplicity 8)  1 Ni 2.48, 8 Ge 2.48-2.49
Ge 0.0000 0.1549 0.3433 (multiplicity 8)  4 Ni 2.48-2.49, 1 Ge 2.52
Ge 0.2500 0.2488 0.2500 (multiplicity 8)  4 Ni 2.48-2.49

## Properties
* ΔE_f: -189 meV/atom

A crystal of FeNi2Ge relaxed with PBEsol, computed with SCAN.

Cell lengths 3.5271, 3.5271, 3.5798 Å; angles 90.00, 90.00, 90.00 degrees
Closest atoms and distances in Å follow each position.
Space group P4/mmm (No. 123)
Unique sites:
Fe 0.0000 0.0000 0.0000 (multiplicity 1)  4 Ge 2.49, 8 Ni 2.51
Ni 0.0000 0.5000 0.5000 (multiplicity 2)  4 Ni 2.49, 4 Ge 2.51, 4 Fe 2.51
Ge 0.5000 0.5000 0.0000 (multiplicity 1)  4 Fe 2.49, 8 Ni 2.51

## Properties
* ΔE_f: -215 meV/atom

A crystal of Na2HoNb5O15 relaxed with PBEsol, computed with SCAN.

Cell lengths 12.5430, 12.5430, 3.9000 Å; angles 90.00, 90.00, 90.00 degrees
Closest atoms and distances in Å follow each position.
Space group P4/mbm (No. 127)
Unique sites:
Na 0.1725 0.3275 0.0000 (multiplicity 4)  6 O 2.66-2.90
Ho 0.0000 0.0000 0.0000 (multiplicity 2)  12 O 2.51-2.64
Nb 0.0000 0.5000 0.5000 (multiplicity 2)  6 O 1.95-2.00
Nb 0.0793 0.7892 0.5000 (multiplicity 8)  6 O 1.92-2.05
O 0.0000 0.5000 0.0000 (multiplicity 2)  2 Nb 1.95
O 0.0018 0.3405 0.5000 (multiplicity 8)  2 Nb 1.92-2.00
O 0.0555 0.1302 0.5000 (multiplicity 8)  2 Nb 1.97-2.05
O 0.0832 0.8176 0.0000 (multiplicity 8)  2 Nb 1.98
O 0.2254 0.7254 0.5000 (multiplicity 4)  2 Nb 2.00

## Properties
* formation energy (no corrections): -2768.7 meV per atom

A crystal of BaTeW2O9 relaxed with PBEsol, computed with SCAN.

Cell lengths 5.4358, 7.4740, 8.8707 Å; angles 90.00, 90.12, 90.00 degrees
Closest atoms and distances in Å follow each position.
Space group P2_1 (No. 4)
Unique sites:
Ba 0.2503 0.0000 0.0619 (multiplicity 2)  9 O 2.72-3.02
Te 0.3580 0.7507 0.5953 (multiplicity 2)  4 O 1.90-2.10
W 0.2186 0.4870 0.2410 (multiplicity 2)  4 O 1.77-1.96
W 0.2354 0.3067 0.6761 (multiplicity 2)  3 O 1.77-1.90
O 0.0184 0.9535 0.3343 (multiplicity 2)  1 W 1.77
O 0.0249 0.3107 0.1768 (multiplicity 2)  1 W 1.78
O 0.0487 0.0948 0.6426 (multiplicity 2)  2 W 1.90-1.96
O 0.2180 0.6292 0.0816 (multiplicity 2)  1 W 1.77
O 0.2911 0.2857 0.8730 (multiplicity 2)  1 W 1.78
O 0.3055 0.3326 0.4447 (multiplicity 2)  1 Te 1.96, 2 W 2.10-2.19
O 0.4349 0.6708 0.3737 (multiplicity 2)  1 Te 2.10, 2 W 2.11-2.16
O 0.4620 0.5291 0.6783 (multiplicity 2)  1 Te 1.90, 1 W 2.07
O 0.4749 0.8713 0.7959 (multiplicity 2)  1 W 1.91, 1 Te 2.09

## Properties
* formation energy (no corrections): -2243.7 meV per atom

A crystal of P3C relaxed with PBEsol, computed with SCAN.

Cell lengths 4.0199, 4.0199, 2.8760 Å; angles 90.00, 90.00, 90.00 degrees
Closest atoms and distances in Å follow each position.
Space group P4/mmm (No. 123)
Unique sites:
P 0.0000 0.0000 0.0000 (multiplicity 1)  8 P 2.47
P 0.0000 0.5000 0.5000 (multiplicity 2)  4 C 2.47, 4 P 2.47
C 0.5000 0.5000 0.0000 (multiplicity 1)  8 P 2.47

## Properties
* polymorph energy (0 for the lowest one): 1148 meV per atom
* ΔE_f: 1832 meV/atom

no.,density (g/cm³),E (eV/atom)
1,4.71,-13.87
2,4.30,-11.56
3,1.68,-5.99
4,7.72,-18.31
5,9.17,-17.61
6,4.95,-16.53
7,7.16,-23.19
8,3.75,-8.49